[1]
Computed, not measured: Li2CaAu10 after structural relaxation at the GGA-PBE level of DFT.

**Density of states at the Fermi level**: 0.220 states/eV per atom
**Calculated formation energy**: -0.327 eV per atom

Cell: 5.357 13.076 13.821 Å, 90.00 90.00 90.00°
Space group Fmmm (No. 69)
One atom of each set of equivalent atoms:
Li: 0.250 0.250 0.000 x8
Ca: 0.000 0.000 0.000 x4
Au: 0.000 0.111 0.399 x16
Au: 0.000 0.181 0.163 x16
Au: 0.250 0.000 0.250 x8


[2]
Computed, not measured: Li4Ca2Au after structural relaxation at the GGA-PBE level of DFT.

**Density of states at the Fermi level**: 0.662 states/eV per atom
**Calculated formation energy**: -0.066 eV per atom

Cell: 4.838 4.838 16.182 Å, 90.00 90.00 90.00°
Space group I4/mmm (No. 139)
One atom of each set of equivalent atoms:
Li: 0.000 0.000 0.158 x4
Li: 0.000 0.500 0.000 x4
Ca: 0.000 0.000 0.360 x4
Au: 0.000 0.000 0.000 x2


[3]
Computed, not measured: Li2CaAu after structural relaxation at the GGA-PBE level of DFT.

**Density of states at the Fermi level**: 0.840 states/eV per atom
**Offset from the most stable computed form**: 0.113 eV per atom
**Calculated formation energy**: -0.336 eV per atom

Cell: 4.4648 4.4648 14.8405 Å, 90.00 90.00 120.00°
Space group R-3m (No. 166, hexagonal axes)
One atom of each set of equivalent atoms:
Li: 0.0000 0.0000 0.2119 x6
Ca: 0.0000 0.0000 0.0000 x3
Au: 0.0000 0.0000 0.5000 x3


Look up the density of states at the Fermi level of the first one. 0.220 states/eV per atom


Which of these has the lowest density of states at the Fermi level? Li2CaAu10


Repeat the third record exactly.
Computed, not measured: Li2CaAu after structural relaxation at the GGA-PBE level of DFT.

**Density of states at the Fermi level**: 0.840 states/eV per atom
**Offset from the most stable computed form**: 0.113 eV per atom
**Calculated formation energy**: -0.336 eV per atom

Cell: 4.4648 4.4648 14.8405 Å, 90.00 90.00 120.00°
Space group R-3m (No. 166, hexagonal axes)
One atom of each set of equivalent atoms:
Li: 0.0000 0.0000 0.2119 x6
Ca: 0.0000 0.0000 0.0000 x3
Au: 0.0000 0.0000 0.5000 x3


Which formula does entry 1 have? Li2CaAu10